# MnSbAs2 (PBE, relaxed)
# Raw formation energy: 0.22 eV per atom
# ρ: 6.55 Mg/m³
data_MnSbAs2
_chemical_formula_sum 'Mn2 Sb2 As4'
_symmetry_space_group_name_H-M 'I m m m'
_symmetry_Int_Tables_number 71
_symmetry_space_group_name_Hall '-I 2 2'
_cell_length_a 3.1406
_cell_length_b 4.7887
_cell_length_c 11.0067
_cell_angle_alpha 90.00
_cell_angle_beta 90.00
_cell_angle_gamma 90.00
loop_
_atom_site_label
_atom_site_fract_x
_atom_site_fract_y
_atom_site_fract_z
Mn1 0.0000 0.0000 0.0000
Sb1 0.0000 0.0000 0.5000
As1 0.0000 0.5000 0.3218